1.
{"formula": "Y2NiOsC", "functional": "PBE-GGA", "state": "relaxed", "crystal_system": "tetragonal", "formation_enthalpy_0k_kj_per_mol_fu": 229, "spacegroup": "P4/mmm (123)", "lattice": [[5.376, 0.000, 0.000], [0.000, 5.376, 0.000], [0.000, 0.000, 3.878]], "species": ["Y", "Y", "Ni", "Os", "C"], "fractional_positions": [[0.000, 0.500, 0.000], [0.500, 0.000, 0.000], [0.000, 0.000, 0.500], [0.500, 0.500, 0.000], [0.500, 0.500, 0.500]]}

2.
{"formula": "NiP3C", "functional": "PBE-GGA", "state": "relaxed", "crystal_system": "cubic", "formation_enthalpy_0k_kj_per_mol_fu": 867, "spacegroup": "Pm-3m (221)", "lattice": [[4.313, 0.000, 0.000], [0.000, 4.313, 0.000], [0.000, 0.000, 4.313]], "species": ["Ni", "P", "P", "P", "C"], "fractional_positions": [[0.000, 0.000, 0.000], [0.000, 0.000, 0.500], [0.000, 0.500, 0.000], [0.500, 0.000, 0.000], [0.500, 0.500, 0.500]]}

3.
{"formula": "NiP3C", "functional": "PBE-GGA", "state": "relaxed", "crystal_system": "cubic", "formation_enthalpy_0k_kj_per_mol_fu": 519, "spacegroup": "Pm-3m (221)", "lattice": [[3.944, 0.000, 0.000], [0.000, 3.944, 0.000], [0.000, 0.000, 3.944]], "species": ["Ni", "P", "P", "P", "C"], "fractional_positions": [[0.000, 0.000, 0.000], [0.000, 0.500, 0.500], [0.500, 0.000, 0.500], [0.500, 0.500, 0.000], [0.500, 0.500, 0.500]]}

4.
{"formula": "Ni2PC", "functional": "PBE-GGA", "state": "relaxed", "crystal_system": "cubic", "formation_enthalpy_0k_kj_per_mol_fu": 299, "spacegroup": "Fm-3m (225)", "lattice": [[0.000, 2.709, 2.709], [2.709, 0.000, 2.709], [2.709, 2.709, 0.000]], "species": ["Ni", "Ni", "P", "C"], "fractional_positions": [[0.250, 0.250, 0.250], [0.750, 0.750, 0.750], [0.000, 0.000, 0.000], [0.500, 0.500, 0.500]]}

5.
{"formula": "NiPC2", "functional": "PBE-GGA", "state": "relaxed", "crystal_system": "tetragonal", "formation_enthalpy_0k_kj_per_mol_fu": 209, "spacegroup": "I-42d (122)", "lattice": [[-2.188, 2.188, 4.155], [2.188, -2.188, 4.155], [2.188, 2.188, -4.155]], "species": ["Ni", "Ni", "P", "P", "C", "C", "C", "C"], "fractional_positions": [[0.000, 0.000, 0.000], [0.750, 0.250, 0.500], [0.250, 0.750, 0.500], [0.500, 0.500, 0.000], [0.155, 0.625, 0.030], [0.375, 0.405, 0.530], [0.595, 0.125, 0.970], [0.875, 0.845, 0.470]]}

6.
{"formula": "Ni2PC", "functional": "PBE-GGA", "state": "relaxed", "crystal_system": "tetragonal", "formation_enthalpy_0k_kj_per_mol_fu": 140, "spacegroup": "I-42d (122)", "lattice": [[-2.186, 2.186, 5.209], [2.186, -2.186, 5.209], [2.186, 2.186, -5.209]], "species": ["Ni", "Ni", "Ni", "Ni", "P", "P", "C", "C"], "fractional_positions": [[0.047, 0.625, 0.922], [0.375, 0.297, 0.422], [0.703, 0.125, 0.078], [0.875, 0.953, 0.578], [0.250, 0.750, 0.500], [0.500, 0.500, 0.000], [0.000, 0.000, 0.000], [0.750, 0.250, 0.500]]}

7.
{"formula": "Ni3PC", "functional": "PBE-GGA", "state": "relaxed", "crystal_system": "cubic", "formation_enthalpy_0k_kj_per_mol_fu": 610, "spacegroup": "Pm-3m (221)", "lattice": [[4.100, 0.000, 0.000], [0.000, 4.100, 0.000], [0.000, 0.000, 4.100]], "species": ["Ni", "Ni", "Ni", "P", "C"], "fractional_positions": [[0.000, 0.000, 0.500], [0.000, 0.500, 0.000], [0.500, 0.000, 0.000], [0.000, 0.000, 0.000], [0.500, 0.500, 0.500]]}

8.
{"formula": "Ni3PC", "functional": "PBE-GGA", "state": "relaxed", "crystal_system": "cubic", "formation_enthalpy_0k_kj_per_mol_fu": 82, "spacegroup": "Pm-3m (221)", "lattice": [[3.782, 0.000, 0.000], [0.000, 3.782, 0.000], [0.000, 0.000, 3.782]], "species": ["Ni", "Ni", "Ni", "P", "C"], "fractional_positions": [[0.000, 0.000, 0.500], [0.000, 0.500, 0.000], [0.500, 0.000, 0.000], [0.500, 0.500, 0.500], [0.000, 0.000, 0.000]]}